ScTl2In | PBE-GGA | relaxed

```
ScTl2In
1.0
8.242 0.000 0.000
0.000 8.242 0.000
0.000 0.000 6.364
Sc Tl In
4 8 4
Direct
0.000 0.000 0.000
0.000 0.500 0.250
0.500 0.000 0.750
0.500 0.500 0.500
0.247 0.250 0.625
0.250 0.747 0.875
0.250 0.753 0.375
0.253 0.250 0.125
0.747 0.750 0.125
0.750 0.247 0.375
0.750 0.253 0.875
0.753 0.750 0.625
0.000 0.000 0.500
0.000 0.500 0.750
0.500 0.000 0.250
0.500 0.500 0.000
```

Density of states at the Fermi level   8.7 states/eV/cell
Formation enthalpy at 0 K   4.59 kJ/mol of atoms
Magnetic moment   0.0 μB per formula unit



ReNi2W | PBE-GGA | relaxed

```
ReNi2W
1.0
2.628 0.000 0.000
0.000 3.790 0.000
0.000 0.000 5.351
Re Ni W
1 2 1
Direct
0.000 0.000 0.000
0.000 0.000 0.532
0.500 0.500 0.761
0.500 0.500 0.285
```

Density of states at the Fermi level   3.0 states/eV/cell
Formation enthalpy at 0 K   3.94 kJ/mol of atoms
Magnetic moment   0.0 μB per formula unit



Ba2ZnPN | PBE-GGA | relaxed

```
Ba2ZnPN
1.0
7.128 0.000 0.000
0.000 4.138 0.000
-2.906 0.000 8.738
Ba Zn P N
4 2 2 2
Direct
0.185 0.250 0.382
0.211 0.250 0.964
0.789 0.750 0.036
0.815 0.750 0.618
0.467 0.750 0.253
0.533 0.250 0.747
0.342 0.750 0.698
0.658 0.250 0.302
0.179 0.750 0.173
0.821 0.250 0.827
```

ΔE_f (raw)   -694 meV/atom
Magnetic moment   0.0 μB per formula unit